No. 1
The following is a DFT calculation (PBE-GGA) of an optimized crystal structure of Pr3Pt2Cl.

Cell and atoms, written as CIF:
```
data_Pr3Pt2Cl
_cell_length_a 5.944
_cell_length_b 8.191
_cell_length_c 8.493
_cell_angle_alpha 99.55
_cell_angle_beta 62.79
_cell_angle_gamma 111.28
_space_group_name_H-M_alt 'P 1'
_space_group_IT_number 1
loop_
_space_group_symop_operation_xyz
'x,y,z'
loop_
_atom_site_label
_atom_site_fract_x
_atom_site_fract_y
_atom_site_fract_z
Pr1 0.431 0.210 0.116
Pr2 0.125 0.251 0.750
Pr3 0.778 0.210 0.384
Pr4 0.875 0.749 0.250
Pr5 0.569 0.790 0.884
Pr6 0.222 0.790 0.616
Pt1 0.000 0.000 0.000
Pt2 0.000 0.000 0.500
Pt3 0.461 0.922 0.250
Pt4 0.539 0.078 0.750
Cl1 0.259 0.518 0.250
Cl2 0.741 0.482 0.750
```

Properties
Calculated density (g/cm³): 8.2
E (eV per atom): -5.721
SG: C2/c (15)
Uncorrected formation energy (eV/atom): -1.010

=====

No. 2
The following is a DFT calculation (PBE-GGA) of an optimized crystal structure of NaTe4Pd6.

Cell and atoms, written as CIF:
```
data_NaTe4Pd6
_cell_length_a 7.048
_cell_length_b 7.048
_cell_length_c 7.048
_cell_angle_alpha 86.25
_cell_angle_beta 122.19
_cell_angle_gamma 122.19
_space_group_name_H-M_alt 'P 1'
_space_group_IT_number 1
loop_
_space_group_symop_operation_xyz
'x,y,z'
loop_
_atom_site_label
_atom_site_fract_x
_atom_site_fract_y
_atom_site_fract_z
Na1 0.000 0.000 0.000
Te1 0.000 0.127 0.582
Te2 0.545 0.418 0.418
Te3 0.000 0.582 0.127
Te4 0.455 0.873 0.873
Pd1 0.000 0.774 0.460
Pd2 0.000 0.460 0.774
Pd3 0.686 0.226 0.226
Pd4 0.500 0.000 0.500
Pd5 0.314 0.540 0.540
Pd6 0.500 0.500 0.000
```

Properties
Calculated density (g/cm³): 8.1
E (eV per atom): -4.468
SG: I-42m (121)
Uncorrected formation energy (eV/atom): -0.373

=====

No. 3
The following is a DFT calculation (PBE-GGA) of an optimized crystal structure of Cs3YTh3Se8.

Cell and atoms, written as CIF:
```
data_Cs3YTh3Se8
_cell_length_a 8.522
_cell_length_b 8.521
_cell_length_c 9.930
_cell_angle_alpha 115.42
_cell_angle_beta 90.00
_cell_angle_gamma 120.00
_space_group_name_H-M_alt 'P 1'
_space_group_IT_number 1
loop_
_space_group_symop_operation_xyz
'x,y,z'
loop_
_atom_site_label
_atom_site_fract_x
_atom_site_fract_y
_atom_site_fract_z
Cs1 0.000 0.000 0.000
Cs2 0.000 0.500 0.000
Cs3 0.500 0.500 0.000
Y1 0.000 0.000 0.500
Th1 0.500 0.000 0.500
Th2 0.500 0.500 0.500
Th3 0.000 0.500 0.500
Se1 0.268 0.536 0.304
Se2 0.732 0.464 0.696
Se3 0.773 0.545 0.313
Se4 0.227 0.455 0.687
Se5 0.773 0.040 0.312
Se6 0.227 0.960 0.688
Se7 0.267 0.040 0.312
Se8 0.733 0.960 0.688
```

Properties
Calculated density (g/cm³): 5.6
E (eV per atom): -5.582
SG: R-3m (166)
Uncorrected formation energy (eV/atom): -1.638

=====

Number 2 is which compound?
NaTe4Pd6

=====

What is the formula in the second record?
NaTe4Pd6